Entry 1:
Density functional theory data (GGA-PBE) for a relaxed AsPbSe2N crystal.

a = 5.397 Å, b = 5.397 Å, c = 4.244 Å
α = 90.00°, β = 90.00°, γ = 90.00°
Fractional coordinates of all 5 atoms:
Pb 0.500 0.500 0.500
As 0.000 0.000 0.000
Se 0.000 0.500 0.000
Se 0.500 0.000 0.000
N 0.000 0.000 0.500

Properties
Its calculated total energy is -0.1531 Ha/atom. As for the density: 6.10 g/cm3. The density of states at the Fermi level is 0.407 states/eV per atom. As for the symmetry: P4/mmm, No. 123.


Entry 2:
Density functional theory data (GGA-PBE) for a relaxed ZrInPt crystal.

a = 4.707 Å, b = 4.707 Å, c = 3.025 Å
α = 90.00°, β = 90.00°, γ = 120.00°
Fractional coordinates of all 3 atoms:
In 0.000 0.000 0.167
Pt 0.667 0.333 0.166
Zr 0.333 0.667 0.667

Properties
Its calculated total energy is -0.2354 Ha/atom. As for the density: 11.47 g/cm3. For the formation energy from the elements, the calculation gives -0.630 eV per atom. The density of states at the Fermi level is 0.622 states/eV per atom. As for the symmetry: P-6m2, No. 187.


Entry 3:
Density functional theory data (GGA-PBE) for a relaxed Dy3Y4Pd4 crystal.

a = 3.840 Å, b = 9.228 Å, c = 9.359 Å
α = 119.54°, β = 101.84°, γ = 90.00°
Fractional coordinates of all 11 atoms:
Dy 0.108 0.108 0.217
Dy 0.892 0.892 0.783
Dy 0.000 0.500 0.000
Y 0.339 0.154 0.678
Y 0.661 0.476 0.322
Y 0.661 0.846 0.322
Y 0.339 0.524 0.678
Pd 0.247 0.747 0.495
Pd 0.753 0.253 0.505
Pd 0.500 0.834 0.000
Pd 0.500 0.166 0.000

Properties
Its calculated total energy is -0.2233 Ha/atom. As for the density: 7.51 g/cm3. For the formation energy from the elements, the calculation gives -0.582 eV per atom. The density of states at the Fermi level is 1.185 states/eV per atom. As for the symmetry: Immm, No. 71.


Entry 4:
Density functional theory data (GGA-PBE) for a relaxed Cs3TeF crystal.

a = 5.913 Å, b = 5.913 Å, c = 5.913 Å
α = 90.00°, β = 90.00°, γ = 90.00°
Fractional coordinates of all 5 atoms:
Cs 0.000 0.500 0.000
Cs 0.000 0.000 0.500
Cs 0.500 0.000 0.000
Te 0.500 0.500 0.500
F 0.000 0.000 0.000

Properties
Its calculated total energy is -0.1175 Ha/atom. As for the density: 4.38 g/cm3. The density of states at the Fermi level is 0.000 states/eV per atom. As for the symmetry: Pm-3m, No. 221.


Entry 5:
Density functional theory data (GGA-PBE) for a relaxed AgOs2Pd crystal.

a = 4.420 Å, b = 4.420 Å, c = 4.420 Å
α = 60.00°, β = 60.00°, γ = 60.00°
Fractional coordinates of all 4 atoms:
Os 0.250 0.250 0.250
Os 0.750 0.750 0.750
Pd 0.000 0.000 0.000
Ag 0.500 0.500 0.500

Properties
Its calculated total energy is -0.2445 Ha/atom. As for the density: 16.17 g/cm3. For the formation energy from the elements, the calculation gives 0.973 eV per atom. The density of states at the Fermi level is 0.824 states/eV per atom. As for the symmetry: Fm-3m, No. 225.


Entry 6:
Density functional theory data (GGA-PBE) for a relaxed TcTeN2F crystal.

a = 4.181 Å, b = 4.181 Å, c = 4.247 Å
α = 90.00°, β = 90.00°, γ = 90.00°
Fractional coordinates of all 5 atoms:
N 0.000 0.500 0.000
N 0.500 0.000 0.000
Te 0.000 0.000 0.000
Tc 0.500 0.500 0.500
F 0.000 0.000 0.500

Properties
Its calculated total energy is -0.1898 Ha/atom. As for the density: 6.10 g/cm3. The density of states at the Fermi level is 0.440 states/eV per atom. As for the symmetry: P4/mmm, No. 123.


Entry 7:
Density functional theory data (GGA-PBE) for a relaxed Cu9Se4Cl6O14 crystal.

a = 6.299 Å, b = 8.341 Å, c = 12.020 Å
α = 80.66°, β = 74.81°, γ = 67.81°
Fractional coordinates of all 33 atoms:
Cu 0.879 0.152 0.091
Cu 0.291 0.157 0.262
Cu 0.385 0.445 0.785
Cu 0.615 0.555 0.215
Cu 0.500 0.500 0.500
Cu 0.121 0.848 0.909
Cu 0.500 0.500 0.000
Cu 0.709 0.843 0.738
Cu 0.000 0.500 0.000
Se 0.962 0.269 0.807
Se 0.038 0.731 0.193
Se 0.254 0.851 0.642
Se 0.746 0.149 0.358
Cl 0.367 0.198 0.069
Cl 0.449 0.737 0.364
Cl 0.633 0.802 0.931
Cl 0.551 0.263 0.636
Cl 0.173 0.208 0.446
Cl 0.827 0.792 0.554
O 0.757 0.405 0.080
O 0.917 0.598 0.153
O 0.368 0.627 0.637
O 0.332 0.598 0.153
O 0.984 0.111 0.921
O 0.381 0.874 0.750
O 0.005 0.126 0.250
O 0.668 0.402 0.847
O 0.083 0.402 0.847
O 0.016 0.889 0.079
O 0.243 0.595 0.920
O 0.632 0.373 0.363
O 0.995 0.874 0.750
O 0.619 0.126 0.250

Properties
Its calculated total energy is -0.1688 Ha/atom. As for the density: 3.91 g/cm3. The density of states at the Fermi level is 0.284 states/eV per atom. As for the symmetry: C2/m, No. 12.


Entry 8:
Density functional theory data (GGA-PBE) for a relaxed Ac6Te3AsIr2 crystal.

a = 7.806 Å, b = 7.806 Å, c = 8.313 Å
α = 99.16°, β = 99.16°, γ = 119.98°
Fractional coordinates of all 12 atoms:
Ac 0.931 0.583 0.787
Ac 0.723 0.723 0.211
Ac 0.069 0.417 0.213
Ac 0.583 0.931 0.787
Ac 0.277 0.277 0.789
Ac 0.417 0.069 0.213
Te 0.161 0.839 0.500
Te 0.839 0.161 0.500
Te 0.500 0.500 0.500
As 0.000 0.000 0.000
Ir 0.333 0.667 0.000
Ir 0.667 0.333 0.000

Properties
Its calculated total energy is -0.2185 Ha/atom. As for the density: 8.80 g/cm3. The density of states at the Fermi level is 0.783 states/eV per atom. As for the symmetry: C2/m, No. 12.


Question: Which value of density does entry 4 give?
Answer: 4.38 g/cm3